DFT (PBE) results for PuCd4Au2 after structural relaxation.

crystal system: trigonal
ΔE_f: -0.21 eV/atom
Fermi-level density of states: 45.50 states/eV/cell

Cell: 4.8972 4.8972 22.9889 Å, 90.00 90.00 120.00°
Last column: nearest neighbours and their distance in Å.
Space group R-3m (No. 166, hexagonal axes)
One atom of each set of equivalent atoms:
Pu (0.0000, 0.0000, 0.0000) x3  8 Cd 3.21-3.33, 6 Au 3.22
Cd (0.0000, 0.0000, 0.1398) x6  1 Au 2.90, 6 Cd 3.09-3.18, 1 Pu 3.21
Cd (0.0000, 0.0000, 0.4098) x6  3 Au 2.84
Au (0.0000, 0.0000, 0.2661) x6  4 Cd 2.84-2.90